Material: LaPm2Si
Method: DFT, GGA-PBE
State: optimized geometry

The calculation puts the excess energy over the best structure of this formula in the dataset at 102 meV per atom. The calculation puts the density of states at the Fermi level at 4.17 states/eV/f.u. The raw formation energy is -1.07 eV per formula unit. Its space group is No. 123. As for the theoretical density: 6940 kg/m3. The value obtained for the volume is 27.34 Å³/atom.

abc: 4.824 4.824 4.699
angles: 90.00 90.00 90.00
Fractional positions:
La 0.000 0.000 0.000
Pm 0.000 0.500 0.500
Pm 0.500 0.000 0.500
Si 0.500 0.500 0.000

=====

Material: LaPm2Si
Method: DFT, GGA-PBE
State: optimized geometry

The calculation puts the excess energy over the best structure of this formula in the dataset at 121 meV per atom. The calculation puts the density of states at the Fermi level at 5.41 states/eV/f.u. The raw formation energy is -0.99 eV per formula unit. Its space group is No. 123. As for the theoretical density: 6673 kg/m3. The value obtained for the volume is 28.43 Å³/atom.

abc: 3.902 3.902 7.468
angles: 90.00 90.00 90.00
Fractional positions:
La 0.000 0.000 0.000
Pm 0.500 0.500 0.303
Pm 0.500 0.500 0.697
Si 0.000 0.000 0.500